1.
The following is a DFT calculation (PBE) of crystalline TaFeAg2 at its relaxed geometry.

## Properties
D(E_F), states/eV/cell: 13.6
Energy of formation, eV/atom: 1.006
Total DFT energy (no corrections), eV/atom: -5.50
M_tot, μB per formula unit: 0.000
ΔE to the lowest computed polymorph, eV per atom: 0.788

The structure in POSCAR format:
```
TaFeAg2
1.0
-3.693 3.693 2.528
3.693 -3.693 2.528
3.693 3.693 -2.528
Ta Fe Ag
2 2 4
direct
0.000 0.000 0.000
0.750 0.250 0.500
0.250 0.750 0.500
0.500 0.500 0.000
0.158 0.625 0.033
0.375 0.408 0.533
0.592 0.125 0.967
0.875 0.842 0.467
```


2.
The following is a DFT calculation (PBE) of crystalline NaTiAl at its relaxed geometry.

## Properties
D(E_F), states/eV/cell: 3.0
Energy of formation, eV/atom: 0.170
Total DFT energy (no corrections), eV/atom: -4.15
M_tot, μB per formula unit: 0.924
ΔE to the lowest computed polymorph, eV per atom: 0.209

The structure in POSCAR format:
```
NaTiAl
1.0
4.734 -1.882 0.000
4.734 1.882 0.000
-2.333 0.000 7.198
Na Ti Al
2 2 2
direct
0.000 0.000 0.000
0.679 0.679 0.822
0.328 0.328 0.567
0.677 0.677 0.347
0.003 0.003 0.461
0.347 0.347 0.215
```